w | Compound: SrLiB3
Source: Alexandria
Functional: PBE
Structure: relaxed

Cell: 5.080 5.080 5.080 Å, 90.00 90.00 90.00°
Fractional coordinates of all 5 atoms:
Sr 0.000 0.000 0.000
Li 0.500 0.500 0.500
B 0.000 0.000 0.500
B 0.000 0.500 0.000
B 0.500 0.000 0.000

## Properties
Its space group is No. 221.


x | Compound: SrLiB3
Source: Alexandria
Functional: PBE
Structure: relaxed

Cell: 4.129 4.129 4.129 Å, 90.00 90.00 90.00°
Fractional coordinates of all 5 atoms:
Sr 0.000 0.000 0.000
Li 0.500 0.500 0.500
B 0.000 0.500 0.500
B 0.500 0.000 0.500
B 0.500 0.500 0.000

## Properties
Its space group is No. 221.


Which of them is the most stable, and which is the least stable? x and w, in that order.


w | Compound: LiTaB2
Source: Alexandria
Functional: PBE
Structure: relaxed

Cell: 3.881 3.881 3.881 Å, 60.00 60.00 60.00°
Fractional coordinates of all 4 atoms:
Li 0.000 0.000 0.000
Ta 0.500 0.500 0.500
B 0.250 0.250 0.250
B 0.750 0.750 0.750

## Properties
Its space group is No. 225.


x | Compound: LiTaB2
Source: Alexandria
Functional: PBE
Structure: relaxed

Cell: 8.272 8.272 8.272 Å, 154.39 154.39 36.53°
Fractional coordinates of all 8 atoms:
Li 0.000 0.000 0.000
Li 0.750 0.250 0.500
Ta 0.250 0.750 0.500
Ta 0.500 0.500 0.000
B 0.253 0.625 0.128
B 0.375 0.503 0.628
B 0.497 0.125 0.872
B 0.875 0.747 0.372

## Properties
Its space group is No. 122.


Which of them is the most stable, and which is the least stable? w and x, in that order.


w | Compound: LiTcB4
Source: Alexandria
Functional: PBE
Structure: relaxed

Cell: 4.353 4.353 4.353 Å, 139.80 105.97 87.77°
Fractional coordinates of all 6 atoms:
Li 0.000 0.000 0.000
Tc 0.500 0.500 0.000
B 0.085 0.744 0.340
B 0.404 0.744 0.660
B 0.596 0.256 0.340
B 0.915 0.256 0.660

## Properties
Its space group is No. 71.


x | Compound: LiTcB4
Source: Alexandria
Functional: PBE
Structure: relaxed

Cell: 3.989 3.989 3.989 Å, 60.00 60.00 60.00°
Fractional coordinates of all 6 atoms:
Li 0.000 0.000 0.000
Tc 0.250 0.250 0.250
B 0.104 0.632 0.632
B 0.632 0.104 0.632
B 0.632 0.632 0.104
B 0.632 0.632 0.632

## Properties
Its space group is No. 216.


Which of them is the most stable, and which is the least stable? w and x, in that order.


w | Compound: LiB3Te
Source: Alexandria
Functional: PBE
Structure: relaxed

Cell: 4.518 4.518 4.518 Å, 90.00 90.00 90.00°
Fractional coordinates of all 5 atoms:
Li 0.000 0.000 0.000
B 0.000 0.500 0.500
B 0.500 0.000 0.500
B 0.500 0.500 0.000
Te 0.500 0.500 0.500

## Properties
Its space group is No. 221.


x | Compound: LiB3Te
Source: Alexandria
Functional: PBE
Structure: relaxed

Cell: 4.044 4.044 4.044 Å, 90.00 90.00 90.00°
Fractional coordinates of all 5 atoms:
Li 0.000 0.000 0.000
B 0.000 0.000 0.500
B 0.000 0.500 0.000
B 0.500 0.000 0.000
Te 0.500 0.500 0.500

## Properties
Its space group is No. 221.


Which of them is the most stable, and which is the least stable? x and w, in that order.


w | Compound: Li2BTe
Source: Alexandria
Functional: PBE
Structure: relaxed

Cell: 4.528 4.528 4.528 Å, 60.00 60.00 60.00°
Fractional coordinates of all 4 atoms:
Li 0.250 0.250 0.250
Li 0.750 0.750 0.750
B 0.000 0.000 0.000
Te 0.500 0.500 0.500

## Properties
Its space group is No. 225.


x | Compound: Li2BTe
Source: Alexandria
Functional: PBE
Structure: relaxed

Cell: 9.074 9.074 9.074 Å, 155.78 155.78 34.52°
Fractional coordinates of all 8 atoms:
Li 0.077 0.625 0.952
Li 0.375 0.327 0.452
Li 0.673 0.125 0.048
Li 0.875 0.923 0.548
B 0.000 0.000 0.000
B 0.750 0.250 0.500
Te 0.250 0.750 0.500
Te 0.500 0.500 0.000

## Properties
Its space group is No. 122.


Which of them is the most stable, and which is the least stable? w and x, in that order.


w | Compound: LiTiB3
Source: Alexandria
Functional: PBE
Structure: relaxed

Cell: 4.201 4.201 4.201 Å, 90.00 90.00 90.00°
Fractional coordinates of all 5 atoms:
Li 0.000 0.000 0.000
Ti 0.500 0.500 0.500
B 0.000 0.500 0.500
B 0.500 0.000 0.500
B 0.500 0.500 0.000

## Properties
Its space group is No. 221.


x | Compound: LiTiB3
Source: Alexandria
Functional: PBE
Structure: relaxed

Cell: 3.555 3.555 3.555 Å, 90.00 90.00 90.00°
Fractional coordinates of all 5 atoms:
Li 0.000 0.000 0.000
Ti 0.500 0.500 0.500
B 0.000 0.000 0.500
B 0.000 0.500 0.000
B 0.500 0.000 0.000

## Properties
Its space group is No. 221.


Which of them is the most stable, and which is the least stable? x and w, in that order.


w | Compound: LiTlB3
Source: Alexandria
Functional: PBE
Structure: relaxed

Cell: 4.096 4.096 4.096 Å, 90.00 90.00 90.00°
Fractional coordinates of all 5 atoms:
Li 0.000 0.000 0.000
Tl 0.500 0.500 0.500
B 0.000 0.000 0.500
B 0.000 0.500 0.000
B 0.500 0.000 0.000

## Properties
Its space group is No. 221.


x | Compound: LiTlB3
Source: Alexandria
Functional: PBE
Structure: relaxed

Cell: 4.642 4.642 4.642 Å, 90.00 90.00 90.00°
Fractional coordinates of all 5 atoms:
Li 0.000 0.000 0.000
Tl 0.500 0.500 0.500
B 0.000 0.500 0.500
B 0.500 0.000 0.500
B 0.500 0.500 0.000

## Properties
Its space group is No. 221.


Which of them is the most stable, and which is the least stable? w and x, in that order.


w | Compound: Li3TlB
Source: Alexandria
Functional: PBE
Structure: relaxed

Cell: 4.393 4.393 4.393 Å, 90.00 90.00 90.00°
Fractional coordinates of all 5 atoms:
Li 0.000 0.000 0.500
Li 0.000 0.500 0.000
Li 0.500 0.000 0.000
Tl 0.500 0.500 0.500
B 0.000 0.000 0.000

## Properties
Its space group is No. 221.


x | Compound: Li3TlB
Source: Alexandria
Functional: PBE
Structure: relaxed

Cell: 5.043 5.043 5.043 Å, 90.00 90.00 90.00°
Fractional coordinates of all 5 atoms:
Li 0.000 0.000 0.500
Li 0.000 0.500 0.000
Li 0.500 0.000 0.000
Tl 0.000 0.000 0.000
B 0.500 0.500 0.500

## Properties
Its space group is No. 221.


Which of them is the most stable, and which is the least stable? w and x, in that order.


w | Compound: LiTl2B
Source: Alexandria
Functional: PBE
Structure: relaxed

Cell: 6.511 6.511 6.511 Å, 97.67 97.67 137.16°
Fractional coordinates of all 8 atoms:
Li 0.000 0.000 0.000
Li 0.750 0.250 0.500
Tl 0.256 0.625 0.131
Tl 0.375 0.506 0.631
Tl 0.494 0.125 0.869
Tl 0.875 0.744 0.369
B 0.250 0.750 0.500
B 0.500 0.500 0.000

## Properties
Its space group is No. 122.


x | Compound: LiTl2B
Source: Alexandria
Functional: PBE
Structure: relaxed

Cell: 4.804 4.804 4.804 Å, 60.00 60.00 60.00°
Fractional coordinates of all 4 atoms:
Li 0.000 0.000 0.000
Tl 0.250 0.250 0.250
Tl 0.750 0.750 0.750
B 0.500 0.500 0.500

## Properties
Its space group is No. 225.


Which of them is the most stable, and which is the least stable? w and x, in that order.


w | Compound: LiVB3
Source: Alexandria
Functional: PBE
Structure: relaxed

Cell: 3.487 3.487 3.487 Å, 90.00 90.00 90.00°
Fractional coordinates of all 5 atoms:
Li 0.000 0.000 0.000
V 0.500 0.500 0.500
B 0.000 0.000 0.500
B 0.000 0.500 0.000
B 0.500 0.000 0.000

## Properties
Its space group is No. 221.


x | Compound: LiVB3
Source: Alexandria
Functional: PBE
Structure: relaxed

Cell: 4.003 4.003 4.003 Å, 90.00 90.00 90.00°
Fractional coordinates of all 5 atoms:
Li 0.000 0.000 0.000
V 0.500 0.500 0.500
B 0.000 0.500 0.500
B 0.500 0.000 0.500
B 0.500 0.500 0.000

## Properties
Its space group is No. 221.


Which of them is the most stable, and which is the least stable? x and w, in that order.


w | Compound: Li2B2W
Source: Alexandria
Functional: PBE
Structure: relaxed

Cell: 6.311 6.311 2.628 Å, 90.00 90.00 90.00°
Fractional coordinates of all 10 atoms:
Li 0.123 0.377 0.000
Li 0.377 0.877 0.000
Li 0.623 0.123 0.000
Li 0.877 0.623 0.000
B 0.182 0.682 0.500
B 0.318 0.182 0.500
B 0.682 0.818 0.500
B 0.818 0.318 0.500
W 0.000 0.000 0.500
W 0.500 0.500 0.500

## Properties
Its space group is No. 127.


x | Compound: Li2B2W
Source: Alexandria
Functional: PBE
Structure: relaxed

Cell: 5.448 5.448 5.448 Å, 146.84 146.84 47.61°
Fractional coordinates of all 5 atoms:
Li 0.250 0.750 0.500
Li 0.750 0.250 0.500
B 0.086 0.086 0.000
B 0.914 0.914 0.000
W 0.500 0.500 0.000

## Properties
Its space group is No. 139.


Which of them is the most stable, and which is the least stable? x and w, in that order.


w | Compound: Li2YB2
Source: Alexandria
Functional: PBE
Structure: relaxed

Cell: 6.184 6.184 4.071 Å, 90.00 90.00 90.00°
Fractional coordinates of all 10 atoms:
Li 0.139 0.361 0.000
Li 0.361 0.861 0.000
Li 0.639 0.139 0.000
Li 0.861 0.639 0.000
Y 0.000 0.000 0.500
Y 0.500 0.500 0.500
B 0.089 0.589 0.500
B 0.411 0.089 0.500
B 0.589 0.911 0.500
B 0.911 0.411 0.500

## Properties
Its space group is No. 127.


x | Compound: Li2YB2
Source: Alexandria
Functional: PBE
Structure: relaxed

Cell: 5.648 5.648 5.648 Å, 141.72 141.72 55.25°
Fractional coordinates of all 5 atoms:
Li 0.250 0.750 0.500
Li 0.750 0.250 0.500
Y 0.000 0.000 0.000
B 0.420 0.420 0.000
B 0.580 0.580 0.000

## Properties
Its space group is No. 139.


Which of them is the most stable, and which is the least stable? x and w, in that order.


w | Compound: Li3YB
Source: Alexandria
Functional: PBE
Structure: relaxed

Cell: 4.327 4.327 4.327 Å, 90.00 90.00 90.00°
Fractional coordinates of all 5 atoms:
Li 0.000 0.000 0.500
Li 0.000 0.500 0.000
Li 0.500 0.000 0.000
Y 0.500 0.500 0.500
B 0.000 0.000 0.000

## Properties
Its space group is No. 221.


x | Compound: Li3YB
Source: Alexandria
Functional: PBE
Structure: relaxed

Cell: 5.600 5.600 5.600 Å, 90.00 90.00 90.00°
Fractional coordinates of all 5 atoms:
Li 0.000 0.000 0.500
Li 0.000 0.500 0.000
Li 0.500 0.000 0.000
Y 0.000 0.000 0.000
B 0.500 0.500 0.500

## Properties
Its space group is No. 221.


Which of them is the most stable, and which is the least stable? w and x, in that order.


w | Compound: LiYB3
Source: Alexandria
Functional: PBE
Structure: relaxed

Cell: 3.881 3.881 3.881 Å, 90.00 90.00 90.00°
Fractional coordinates of all 5 atoms:
Li 0.000 0.000 0.000
Y 0.500 0.500 0.500
B 0.000 0.000 0.500
B 0.000 0.500 0.000
B 0.500 0.000 0.000

## Properties
Its space group is No. 221.


x | Compound: LiYB3
Source: Alexandria
Functional: PBE
Structure: relaxed

Cell: 4.758 4.758 4.758 Å, 90.00 90.00 90.00°
Fractional coordinates of all 5 atoms:
Li 0.000 0.000 0.000
Y 0.500 0.500 0.500
B 0.000 0.500 0.500
B 0.500 0.000 0.500
B 0.500 0.500 0.000

## Properties
Its space group is No. 221.


Which of them is the most stable, and which is the least stable? w and x, in that order.